No. 1
The following is a PBE-GGA calculation of a geometry-optimized AgSeBr2 structure, from Alexandria.

a = 5.2255 Å, b = 5.2255 Å, c = 3.4325 Å
α = 90.00°, β = 90.00°, γ = 90.00°
Fractional coordinates of all 4 atoms:
Ag 0.0000 0.0000 0.0000
Se 0.5000 0.5000 0.0000
Br 0.0000 0.5000 0.5000
Br 0.5000 0.0000 0.5000

## Properties
Total magnetic moment, μB per cell: 0.0
ΔE_f (raw), meV per atom: 353.2
Energy above the lowest structure with this stoichiometry, eV/atom: 0.5091

---

No. 2
The following is a PBE-GGA calculation of a geometry-optimized ZnCd6Hg2 structure, from Alexandria.

a = 7.1002 Å, b = 7.1002 Å, c = 9.0027 Å
α = 92.12°, β = 92.12°, γ = 112.80°
Fractional coordinates of all 18 atoms:
Zn 0.1044 0.8956 0.7500
Zn 0.8956 0.1044 0.2500
Cd 0.0301 0.5179 0.3190
Cd 0.0328 0.8282 0.0720
Cd 0.1718 0.9672 0.4280
Cd 0.3096 0.3161 0.2006
Cd 0.3161 0.3096 0.7006
Cd 0.4821 0.9699 0.1810
Cd 0.5179 0.0301 0.8190
Cd 0.6839 0.6904 0.2994
Cd 0.6904 0.6839 0.7994
Cd 0.8282 0.0328 0.5720
Cd 0.9672 0.1718 0.9280
Cd 0.9699 0.4821 0.6810
Hg 0.2995 0.6059 0.9632
Hg 0.3941 0.7005 0.5368
Hg 0.6059 0.2995 0.4632
Hg 0.7005 0.3941 0.0368

## Properties
Formation energy from the elements, eV/atom: 0.04
Total magnetic moment, μB per cell: 0.0
Energy above the lowest structure with this stoichiometry, eV/atom: 0.0000

---

Values of calculated volume, in order: 94, 417, all in Å³ per cell.
Values of DFT total energy, in order: -8.269, -13.944, all in eV for the cell shown.